No. 1
Ho3Zr3FeTe2: relaxed, PBE-GGA.

Output
space-group type: P-62m, No. 189
total magnetic moment: 1.037 μB/cell
excess energy over the best structure of this formula in the dataset: 0.0 meV per atom

Unit cell a=8.0476 b=8.0476 c=3.7944 alpha=90.00 beta=90.00 gamma=120.00
Site moments in Bohr magnetons follow the coordinates.
Positions (direct):
Te1 0.3333 0.6667 0.5000  0.00
Te2 0.6667 0.3333 0.5000  0.00
Fe1 0.0000 0.0000 0.0000  0.68
Ho1 0.3962 0.3962 0.0000  0.06
Ho2 0.6038 0.0000 0.0000  0.04
Ho3 0.0000 0.6038 0.0000  0.04
Zr1 0.0000 0.2299 0.5000  0.03
Zr2 0.7701 0.7701 0.5000  0.02
Zr3 0.2299 0.0000 0.5000  0.02

No. 2
Ta2CoB: relaxed, PBE-GGA.

Output
space-group type: P6_3/mmc, No. 194
final energy: -9.581 eV per atom
total magnetic moment: 0.586 μB/cell

Unit cell a=3.1495 b=3.1495 c=12.8237 alpha=90.00 beta=90.00 gamma=120.00
Site moments in Bohr magnetons follow the coordinates.
Positions (direct):
B1 0.0000 0.0000 0.0000  0.00
B2 0.0000 0.0000 0.5000  0.00
Co1 0.3333 0.6667 0.7500  0.37
Co2 0.6667 0.3333 0.2500  0.37
Ta1 0.3333 0.6667 0.3956  -0.01
Ta2 0.3333 0.6667 0.1044  -0.01
Ta3 0.6667 0.3333 0.6044  -0.01
Ta4 0.6667 0.3333 0.8956  -0.01

No. 3
Tl4PtO4: relaxed, PBE-GGA.

Output
space-group type: C2/m, No. 12
final energy: -4.400 eV per atom
total magnetic moment: 0.939 μB/cell

Unit cell a=5.6514 b=5.6514 c=5.8805 alpha=102.95 beta=102.95 gamma=66.88
Site moments in Bohr magnetons follow the coordinates.
Positions (direct):
O1 0.6630 0.1157 0.7908  0.11
O2 0.1157 0.6630 0.7908  0.14
O3 0.3369 0.8843 0.2092  0.11
O4 0.8843 0.3369 0.2092  0.14
Tl1 0.1828 0.1828 0.6037  0.02
Tl2 0.8172 0.8172 0.3963  0.02
Tl3 0.6001 0.6001 0.8080  0.01
Tl4 0.3999 0.3999 0.1920  0.01
Pt1 0.0000 0.0000 0.0000  0.30

No. 4
IrAu: relaxed, PBE-GGA.

Output
space-group type: Fm-3m, No. 225
formation energy from the elements: 1.1405 eV/atom
total magnetic moment: 0.047 μB/cell
excess energy over the best structure of this formula in the dataset: 705.9 meV per atom

Unit cell a=3.7371 b=3.7371 c=3.7371 alpha=60.00 beta=60.00 gamma=60.00
Positions (direct):
Ir1 0.5000 0.5000 0.5000
Au1 0.0000 0.0000 0.0000

No. 5
NaGaReTc: relaxed, PBE-GGA.

Output
space-group type: F-43m, No. 216
total magnetic moment: 0.004 μB/cell
excess energy over the best structure of this formula in the dataset: 0.0 meV per atom

Unit cell a=4.4066 b=4.4066 c=4.4066 alpha=60.00 beta=60.00 gamma=60.00
Positions (direct):
Na1 0.7500 0.7500 0.7500
Tc1 0.0000 0.0000 0.0000
Ga1 0.5000 0.5000 0.5000
Re1 0.2500 0.2500 0.2500

No. 6
BaYAuSe2S: relaxed, PBE-GGA.

Output
space-group type: Cmcm, No. 63
final energy: -5.330 eV per atom
total magnetic moment: 0.014 μB/cell

Unit cell a=7.3777 b=7.3777 c=10.5444 alpha=90.00 beta=90.00 gamma=146.74
Positions (direct):
Y1 0.5000 0.5000 0.5000
Y2 0.5000 0.5000 0.0000
S1 0.5736 0.4264 0.2500
S2 0.4264 0.5736 0.7500
Ba1 0.7575 0.2425 0.7500
Ba2 0.2425 0.7575 0.2500
Se1 0.8602 0.1398 0.0488
Se2 0.1398 0.8602 0.9512
Se3 0.1398 0.8602 0.5488
Se4 0.8602 0.1398 0.4512
Au1 0.9687 0.0313 0.2500
Au2 0.0313 0.9687 0.7500

No. 7
LiNbCuSn: relaxed, PBE-GGA.

Output
space-group type: F-43m, No. 216
total magnetic moment: 1.248 μB/cell
excess energy over the best structure of this formula in the dataset: 42.0 meV per atom

Unit cell a=4.5603 b=4.5603 c=4.5603 alpha=60.00 beta=60.00 gamma=60.00
Positions (direct):
Li1 0.5000 0.5000 0.5000
Cu1 0.7500 0.7500 0.7500
Nb1 0.2500 0.2500 0.2500
Sn1 0.0000 0.0000 0.0000

No. 8
TmTaAl: relaxed, PBE-GGA.

Output
space-group type: F-43m, No. 216
final energy: -5.478 eV per atom
total magnetic moment: 2.293 μB/cell

Unit cell a=4.7943 b=4.7943 c=4.7943 alpha=60.00 beta=60.00 gamma=60.00
Positions (direct):
Tm1 0.0000 0.0000 0.0000
Ta1 0.7500 0.7500 0.7500
Al1 0.2500 0.2500 0.2500

No. 9
HfCoNiBi: relaxed, PBE-GGA.

Output
space-group type: F-43m, No. 216
total magnetic moment: 0.011 μB/cell
excess energy over the best structure of this formula in the dataset: 0.0 meV per atom

Unit cell a=4.5168 b=4.5168 c=4.5168 alpha=60.00 beta=60.00 gamma=60.00
Positions (direct):
Bi1 0.0000 0.0000 0.0000
Ni1 0.2500 0.2500 0.2500
Co1 0.7500 0.7500 0.7500
Hf1 0.5000 0.5000 0.5000

No. 10
GaCo3H: relaxed, PBE-GGA.

Output
space-group type: Pm-3m, No. 221
final energy: -5.644 eV per atom
total magnetic moment: 3.031 μB/cell

Unit cell a=3.6207 b=3.6207 c=3.6207 alpha=90.00 beta=90.00 gamma=90.00
Site moments in Bohr magnetons follow the coordinates.
Positions (direct):
H1 0.5000 0.5000 0.5000  -0.01
Co1 0.5000 0.5000 0.0000  1.30
Co2 0.5000 0.0000 0.5000  1.13
Co3 0.0000 0.5000 0.5000  0.73
Ga1 0.0000 0.0000 0.0000  -0.07

No. 11
PrErSe2: relaxed, PBE-GGA.

Output
space-group type: C2/m, No. 12
total magnetic moment: 0.004 μB/cell
excess energy over the best structure of this formula in the dataset: 0.0 meV per atom

Unit cell a=4.0800 b=4.0800 c=7.3698 alpha=106.13 beta=106.13 gamma=60.11
Positions (direct):
Pr1 0.5000 0.5000 0.5000
Se1 0.2572 0.2572 0.7717
Se2 0.7428 0.7428 0.2283
Er1 0.0000 0.0000 0.0000

No. 12
LaSmTl2Zn2: relaxed, PBE-GGA.

Output
space-group type: P3m1, No. 156
final energy: -3.201 eV per atom
total magnetic moment: 0.003 μB/cell

Unit cell a=4.7888 b=4.7888 c=7.6697 alpha=90.00 beta=90.00 gamma=120.00
Positions (direct):
La1 0.0000 0.0000 0.8465
Sm1 0.0000 0.0000 0.3470
Tl1 0.3333 0.6667 0.6163
Tl2 0.6667 0.3333 0.1330
Zn1 0.6667 0.3333 0.5391
Zn2 0.3333 0.6667 0.0550